CaSmGaAu | GGA-PBE | relaxed

As for the theoretical density: 7.4 g cm⁻³. The formation energy is -0.654 eV/atom. The density of states at the Fermi level comes out at 5.4 states/eV/cell. The calculation puts the offset from the most stable computed form at 0 meV/atom.

The structure belongs to space group Amm2 (No. 38); the cell edges are 4.665, 3.884 and 11.269 Å and the angles 90.00°, 90.00° and 90.00°. Symmetry generates all atoms from Ca at (0.000, 0.000, 0.000), Sm at (0.500, 0.000, 0.716), Ga at (0.000, 0.000, 0.278) and Au at (0.500, 0.000, 0.430).